# 1
# CaLa6Tm5, relaxed, DFT PBE-GGA
# Raw total energy ... -4.4574 eV per atom
# Crystal system ... monoclinic
# Calculated density ... 7.00 g/cm3
# ΔH_f (0 K) ... 36 meV/atom
data_CaLa6Tm5
_chemical_formula_sum 'Ca2 La12 Tm10'
_symmetry_space_group_name_H-M 'C 1 2/m 1'
_symmetry_Int_Tables_number 12
_symmetry_space_group_name_Hall '-C 2y'
_cell_length_a 11.936
_cell_length_b 10.985
_cell_length_c 6.322
_cell_angle_alpha 90.00
_cell_angle_beta 100.24
_cell_angle_gamma 90.00
loop_
_atom_site_label
_atom_site_type_symbol
_atom_site_fract_x
_atom_site_fract_y
_atom_site_fract_z
Ca1 Ca 0.000 0.000 0.000
La1 La 0.247 0.329 0.749
La2 La 0.248 0.500 0.259
Tm1 Tm 0.000 0.172 0.500
Tm2 Tm 0.000 0.338 0.000
Tm3 Tm 0.000 0.500 0.500

# 2
# CsTl2P2, relaxed, DFT PBE-GGA
# Raw total energy ... -3.3375 eV per atom
# Crystal system ... tetragonal
# Calculated density ... 5.80 g/cm3
# ΔH_f (0 K) ... -56 meV/atom
data_CsTl2P2
_chemical_formula_sum 'Cs2 Tl4 P4'
_symmetry_space_group_name_H-M 'P 4/m b m'
_symmetry_Int_Tables_number 127
_symmetry_space_group_name_Hall '-P 4 2ab'
_cell_length_a 9.051
_cell_length_b 9.051
_cell_length_c 4.221
_cell_angle_alpha 90.00
_cell_angle_beta 90.00
_cell_angle_gamma 90.00
loop_
_atom_site_label
_atom_site_type_symbol
_atom_site_fract_x
_atom_site_fract_y
_atom_site_fract_z
Cs1 Cs 0.000 0.000 0.000
Tl1 Tl 0.148 0.352 0.500
P1 P 0.084 0.584 0.000

# 3
# ReAsW, relaxed, DFT PBE-GGA
# Raw total energy ... -9.4694 eV per atom
# Crystal system ... orthorhombic
# Calculated density ... 14.99 g/cm3
# ΔH_f (0 K) ... 548 meV/atom
data_ReAsW
_chemical_formula_sum 'Re4 As4 W4'
_symmetry_space_group_name_H-M 'F m m 2'
_symmetry_Int_Tables_number 42
_symmetry_space_group_name_Hall 'F 2 -2'
_cell_length_a 3.165
_cell_length_b 4.638
_cell_length_c 13.428
_cell_angle_alpha 90.00
_cell_angle_beta 90.00
_cell_angle_gamma 90.00
loop_
_atom_site_label
_atom_site_type_symbol
_atom_site_fract_x
_atom_site_fract_y
_atom_site_fract_z
Re1 Re 0.000 0.000 0.000
As1 As 0.000 0.000 0.678
W1 W 0.000 0.000 0.348

# 4
# AlSb2HI, relaxed, DFT PBE-GGA
# Raw total energy ... -2.5539 eV per atom
# Crystal system ... tetragonal
# Calculated density ... 4.03 g/cm3
data_AlSb2HI
_chemical_formula_sum 'Al1 Sb2 H1 I1'
_symmetry_space_group_name_H-M 'P 4/m m m'
_symmetry_Int_Tables_number 123
_symmetry_space_group_name_Hall '-P 4 2'
_cell_length_a 5.312
_cell_length_b 5.312
_cell_length_c 5.819
_cell_angle_alpha 90.00
_cell_angle_beta 90.00
_cell_angle_gamma 90.00
loop_
_atom_site_label
_atom_site_type_symbol
_atom_site_fract_x
_atom_site_fract_y
_atom_site_fract_z
Al1 Al 0.000 0.000 0.000
Sb1 Sb 0.000 0.500 0.000
H1 H 0.500 0.500 0.500
I1 I 0.000 0.000 0.500

# 5
# Sr2Al3Ga4Au, relaxed, DFT PBE-GGA
# Raw total energy ... -3.4109 eV per atom
# Crystal system ... tetragonal
# Calculated density ... 5.62 g/cm3
# ΔH_f (0 K) ... -413 meV/atom
data_Sr2Al3Ga4Au
_chemical_formula_sum 'Sr2 Al3 Ga4 Au1'
_symmetry_space_group_name_H-M 'P -4 m 2'
_symmetry_Int_Tables_number 115
_symmetry_space_group_name_Hall 'P -4 -2'
_cell_length_a 4.418
_cell_length_b 4.418
_cell_length_c 11.083
_cell_angle_alpha 90.00
_cell_angle_beta 90.00
_cell_angle_gamma 90.00
loop_
_atom_site_label
_atom_site_type_symbol
_atom_site_fract_x
_atom_site_fract_y
_atom_site_fract_z
Sr1 Sr 0.000 0.500 0.250
Al1 Al 0.000 0.000 0.000
Al2 Al 0.000 0.500 0.633
Ga1 Ga 0.000 0.000 0.500
Ga2 Ga 0.000 0.500 0.865
Ga3 Ga 0.500 0.500 0.500
Au1 Au 0.500 0.500 0.000

# 6
# La2CdSn4, relaxed, DFT PBE-GGA
# Raw total energy ... -4.2702 eV per atom
# Crystal system ... tetragonal
# Calculated density ... 6.89 g/cm3
# ΔH_f (0 K) ... -444 meV/atom
data_La2CdSn4
_chemical_formula_sum 'La2 Cd1 Sn4'
_symmetry_space_group_name_H-M 'P -4 m 2'
_symmetry_Int_Tables_number 115
_symmetry_space_group_name_Hall 'P -4 -2'
_cell_length_a 4.645
_cell_length_b 4.645
_cell_length_c 9.659
_cell_angle_alpha 90.00
_cell_angle_beta 90.00
_cell_angle_gamma 90.00
loop_
_atom_site_label
_atom_site_type_symbol
_atom_site_fract_x
_atom_site_fract_y
_atom_site_fract_z
La1 La 0.000 0.500 0.235
Cd1 Cd 0.500 0.500 0.000
Sn1 Sn 0.000 0.000 0.500
Sn2 Sn 0.000 0.500 0.806
Sn3 Sn 0.500 0.500 0.500

# 7
# SrPmTa2O8, relaxed, DFT PBE-GGA
# Raw total energy ... -8.7120 eV per atom
# Crystal system ... tetragonal
# Calculated density ... 7.04 g/cm3
# Formation energy (no corrections) ... -2895.0 meV per atom
data_SrPmTa2O8
_chemical_formula_sum 'Sr2 Pm2 Ta4 O16'
_symmetry_space_group_name_H-M 'I -4'
_symmetry_Int_Tables_number 82
_symmetry_space_group_name_Hall 'I -4'
_cell_length_a 5.430
_cell_length_b 5.430
_cell_length_c 11.561
_cell_angle_alpha 90.00
_cell_angle_beta 90.00
_cell_angle_gamma 90.00
loop_
_atom_site_label
_atom_site_type_symbol
_atom_site_fract_x
_atom_site_fract_y
_atom_site_fract_z
Sr1 Sr 0.000 0.000 0.000
Pm1 Pm 0.000 0.500 0.750
Ta1 Ta 0.000 0.000 0.500
Ta2 Ta 0.000 0.500 0.250
O1 O 0.157 0.241 0.592
O2 O 0.176 0.738 0.165

# 8
# ScTcNi4, relaxed, DFT PBE-GGA
# Raw total energy ... -6.8069 eV per atom
# Crystal system ... cubic
# Calculated density ... 8.03 g/cm3
# ΔH_f (0 K) ... -170 meV/atom
data_ScTcNi4
_chemical_formula_sum 'Sc4 Tc4 Ni16'
_symmetry_space_group_name_H-M 'F -4 3 m'
_symmetry_Int_Tables_number 216
_symmetry_space_group_name_Hall 'F -4 2 3'
_cell_length_a 6.784
_cell_length_b 6.784
_cell_length_c 6.784
_cell_angle_alpha 90.00
_cell_angle_beta 90.00
_cell_angle_gamma 90.00
loop_
_atom_site_label
_atom_site_type_symbol
_atom_site_fract_x
_atom_site_fract_y
_atom_site_fract_z
Sc1 Sc 0.000 0.000 0.000
Tc1 Tc 0.250 0.250 0.750
Ni1 Ni 0.125 0.125 0.375